Entry 1:
DFT (GGA-PBE) results for crystalline YCuPt3 at its relaxed geometry.

Values from the calculation:
energy above the lowest structure with this stoichiometry	1.698	eV per atom
N(E_F)	0.576	states/eV per atom
SG	Pm-3m (221)
DFT total energy	-4.60	eV per atom
spin magnetization	0.00	μB per formula unit
energy of formation	1.132	eV per atom

POSCAR file:
```
YCuPt3
1.0
-3.078 3.962 0.886
-3.852 -3.202 0.933
1.282 -0.107 4.930
Y Cu Pt
1 1 3
Cartesian
0.000 0.000 0.000
-2.824 0.327 3.375
-1.926 -1.601 0.466
-1.539 1.981 0.443
0.641 -0.053 2.465
```

***

Entry 2:
DFT (GGA-PBE) results for crystalline YCuPt4 at its relaxed geometry.

Values from the calculation:
N(E_F)	0.795	states/eV per atom
SG	F-43m (216)
DFT total energy	-6.43	eV per atom
spin magnetization	0.00	μB per formula unit
energy of formation	-0.640	eV per atom

POSCAR file:
```
YCuPt4
1.0
5.324 0.000 0.000
2.662 4.610 0.000
2.662 1.537 4.347
Pt Cu Y
4 1 1
Cartesian
5.324 1.529 2.719
3.986 3.846 2.719
6.661 3.846 2.719
5.324 3.074 0.535
0.000 0.000 0.000
2.662 1.537 1.087
```

***

Entry 3:
DFT (GGA-PBE) results for crystalline YCu3Pt at its relaxed geometry.

Values from the calculation:
energy above the lowest structure with this stoichiometry	1.338	eV per atom
N(E_F)	0.476	states/eV per atom
SG	Pm-3m (221)
DFT total energy	-3.42	eV per atom
spin magnetization	0.00	μB per formula unit
energy of formation	1.542	eV per atom

POSCAR file:
```
YCu3Pt
1.0
4.832 0.000 0.000
0.000 4.832 0.000
0.000 0.000 4.832
Pt Cu Y
1 3 1
Cartesian
2.416 2.416 2.416
2.416 0.000 0.000
0.000 2.416 0.000
0.000 0.000 2.416
0.000 0.000 0.000
```

***

Entry 4:
DFT (GGA-PBE) results for crystalline YCu8Pt3 at its relaxed geometry.

Values from the calculation:
N(E_F)	0.258	states/eV per atom
SG	P3m1 (156)
DFT total energy	-5.01	eV per atom
spin magnetization	0.00	μB per formula unit
energy of formation	-0.233	eV per atom

POSCAR file:
```
YCu8Pt3
1.0
4.906 0.000 0.000
-2.453 4.249 0.000
0.000 0.000 7.996
Cu Y Pt
8 1 3
Cartesian
1.253 2.109 6.074
0.000 2.833 3.989
2.453 0.031 6.074
-1.242 3.549 1.923
3.653 2.109 6.074
1.242 3.549 1.923
0.000 2.833 7.978
0.000 1.399 1.923
0.000 0.000 4.527
2.453 1.416 0.540
2.453 1.416 3.454
0.000 0.000 7.493
```